Density functional theory data (PBE) for BaReAsO after structural relaxation.

a b c (Å): 3.898 5.179 8.132
angles (deg): 90.00 90.00 90.00
Atoms (fractional coordinates):
Ba  0.000  0.191  0.000
Ba  0.000  0.809  0.500
Re  0.500  0.319  0.348
Re  0.500  0.681  0.848
As  0.500  0.309  0.657
As  0.500  0.691  0.157
O  0.000  0.293  0.343
O  0.000  0.707  0.843

- Total DFT energy (no corrections): -54.719 eV for the cell shown
- Symmetry: Pmc2_1
- Excess energy over the best structure of this formula in the dataset: 23 meV per atom